(1)
A plane-wave DFT calculation with PBE-GGA was carried out for crystalline Bi3TeBr at its relaxed geometry.

- polymorph energy (0 for the lowest one) (meV/atom) = 0
- E_form (uncorrected) (meV per atom) = 598
- space-group type = Pm-3m, No. 221

a b c (Å): 5.921 5.921 5.921
angles (deg): 90.00 90.00 90.00
Fractional positions:
Te 0.000 0.000 0.000
Br 0.500 0.500 0.500
Bi 0.000 0.500 0.000
Bi 0.500 0.000 0.000
Bi 0.000 0.000 0.500

***

(2)
A plane-wave DFT calculation with PBE-GGA was carried out for crystalline BiTeBr2 at its relaxed geometry.

- polymorph energy (0 for the lowest one) (meV/atom) = 212
- E_form (uncorrected) (meV per atom) = -62
- space-group type = R-3m, No. 166

a b c (Å): 10.801 10.801 10.801
angles (deg): 19.40 19.40 19.40
Fractional positions:
Br 0.911 0.911 0.911
Bi 0.500 0.500 0.500
Te 0.000 0.000 0.000
Br 0.089 0.089 0.089

***

(3)
A plane-wave DFT calculation with PBE-GGA was carried out for crystalline BiTe2Br at its relaxed geometry.

- polymorph energy (0 for the lowest one) (meV/atom) = 319
- E_form (uncorrected) (meV per atom) = 193
- space-group type = R-3m, No. 166

a b c (Å): 11.637 11.637 11.637
angles (deg): 17.09 17.09 17.09
Fractional positions:
Bi 0.000 0.000 0.000
Br 0.500 0.500 0.500
Te 0.909 0.909 0.909
Te 0.091 0.091 0.091

***

(4)
A plane-wave DFT calculation with PBE-GGA was carried out for crystalline Bi3TeBr at its relaxed geometry.

- polymorph energy (0 for the lowest one) (meV/atom) = 198
- E_form (uncorrected) (meV per atom) = 796
- space-group type = Pm-3m, No. 221

a b c (Å): 5.714 5.714 5.714
angles (deg): 90.00 90.00 90.00
Fractional positions:
Bi 0.000 0.500 0.000
Bi 0.500 0.000 0.000
Bi 0.000 0.000 0.500
Te 0.500 0.500 0.500
Br 0.000 0.000 0.000

***

(5)
A plane-wave DFT calculation with PBE-GGA was carried out for crystalline BiTeBr at its relaxed geometry.

- E_form (uncorrected) (meV per atom) = -477
- space-group type = P2_1/m, No. 11

a b c (Å): 4.342 7.604 7.323
angles (deg): 93.67 90.00 90.00
Fractional positions:
Te 0.750 0.095 0.753
Te 0.250 0.905 0.247
Br 0.250 0.598 0.734
Bi 0.250 0.235 0.509
Bi 0.750 0.765 0.491
Br 0.750 0.402 0.266

***

(6)
A plane-wave DFT calculation with PBE-GGA was carried out for crystalline BiTe2Br8 at its relaxed geometry.

- E_form (uncorrected) (meV per atom) = -316
- space-group type = C2/m, No. 12

a b c (Å): 7.988 8.171 8.171
angles (deg): 55.63 91.77 91.77
Fractional positions:
Br 0.258 0.713 0.196
Br 0.586 0.298 0.298
Br 0.742 0.287 0.804
Te 0.456 0.139 0.139
Br 0.414 0.702 0.702
Bi 0.000 0.000 0.000
Br 0.140 0.194 0.194
Te 0.544 0.861 0.861
Br 0.742 0.804 0.287
Br 0.860 0.806 0.806
Br 0.258 0.196 0.713

***

(7)
A plane-wave DFT calculation with PBE-GGA was carried out for crystalline BiTeBr2 at its relaxed geometry.

- polymorph energy (0 for the lowest one) (meV/atom) = 462
- E_form (uncorrected) (meV per atom) = 188
- space-group type = Fm-3m, No. 225

a b c (Å): 5.422 5.422 5.422
angles (deg): 60.00 60.00 60.00
Fractional positions:
Br 0.250 0.250 0.250
Br 0.750 0.750 0.750
Te 0.000 0.000 0.000
Bi 0.500 0.500 0.500

***

(8)
A plane-wave DFT calculation with PBE-GGA was carried out for crystalline BiTeWBr2 at its relaxed geometry.

- E_form (uncorrected) (meV per atom) = 1158
- space-group type = P4/mmm, No. 123

a b c (Å): 5.493 5.888 5.493
angles (deg): 90.00 90.00 90.00
Each line ends with the local moment (μB).
Fractional positions:
W 0.000 0.500 0.000  2.99
Br 0.000 0.000 0.500  0.05
Te 0.500 0.500 0.500  -0.18
Bi 0.000 0.000 0.000  -0.04
Br 0.500 0.000 0.000  0.05

***

(9)
A plane-wave DFT calculation with PBE-GGA was carried out for crystalline Th2BiBr at its relaxed geometry.

- E_form (uncorrected) (meV per atom) = -635
- space-group type = Fm-3m, No. 225

a b c (Å): 5.450 5.450 5.450
angles (deg): 60.00 60.00 60.00
Fractional positions:
Bi 0.000 0.000 0.000
Th 0.750 0.750 0.750
Br 0.500 0.500 0.500
Th 0.250 0.250 0.250

***

(10)
A plane-wave DFT calculation with PBE-GGA was carried out for crystalline TiBi3Br at its relaxed geometry.

- polymorph energy (0 for the lowest one) (meV/atom) = 0
- E_form (uncorrected) (meV per atom) = -1
- space-group type = Pm-3m, No. 221

a b c (Å): 5.402 5.402 5.402
angles (deg): 90.00 90.00 90.00
Fractional positions:
Ti 0.000 0.000 0.000
Bi 0.000 0.000 0.500
Bi 0.500 0.000 0.000
Br 0.500 0.500 0.500
Bi 0.000 0.500 0.000

***

(11)
A plane-wave DFT calculation with PBE-GGA was carried out for crystalline Ti2Bi2Br at its relaxed geometry.

- E_form (uncorrected) (meV per atom) = -162
- space-group type = P4/mbm, No. 127

a b c (Å): 7.920 7.920 3.734
angles (deg): 90.00 90.00 90.00
Fractional positions:
Ti 0.642 0.142 0.000
Bi 0.648 0.852 0.500
Ti 0.858 0.642 0.000
Ti 0.358 0.858 0.000
Bi 0.352 0.148 0.500
Br 0.000 0.000 0.000
Bi 0.852 0.352 0.500
Br 0.500 0.500 0.000
Ti 0.142 0.358 0.000
Bi 0.148 0.648 0.500

***

(12)
A plane-wave DFT calculation with PBE-GGA was carried out for crystalline TiBiBr3 at its relaxed geometry.

- E_form (uncorrected) (meV per atom) = -348
- space-group type = Pm-3m, No. 221

a b c (Å): 5.290 5.290 5.290
angles (deg): 90.00 90.00 90.00
Each line ends with the local moment (μB).
Fractional positions:
Ti 0.000 0.000 0.000  1.48
Br 0.000 0.000 0.500  0.05
Bi 0.500 0.500 0.500  1.38
Br 0.500 0.000 0.000  -0.01
Br 0.000 0.500 0.000  0.01

***

(13)
A plane-wave DFT calculation with PBE-GGA was carried out for crystalline TiBi2Br at its relaxed geometry.

- polymorph energy (0 for the lowest one) (meV/atom) = 0
- E_form (uncorrected) (meV per atom) = 295
- space-group type = I-42d, No. 122

a b c (Å): 5.868 5.868 9.587
angles (deg): 72.18 72.18 90.00
Each line ends with the local moment (μB).
Fractional positions:
Bi 0.375 0.474 0.750  0.00
Br 0.000 0.000 0.000  0.00
Br 0.750 0.250 0.500  0.00
Ti 0.250 0.750 0.500  0.07
Bi 0.526 0.125 0.250  -0.01
Bi 0.875 0.776 0.750  -0.01
Ti 0.500 0.500 0.000  0.07
Bi 0.224 0.625 0.250  -0.01

***

(14)
A plane-wave DFT calculation with PBE-GGA was carried out for crystalline TiBi2Br at its relaxed geometry.

- polymorph energy (0 for the lowest one) (meV/atom) = 48
- E_form (uncorrected) (meV per atom) = 343
- space-group type = Fm-3m, No. 225

a b c (Å): 5.321 5.321 5.321
angles (deg): 60.00 60.00 60.00
Each line ends with the local moment (μB).
Fractional positions:
Br 0.500 0.500 0.500  0.00
Ti 0.000 0.000 0.000  1.03
Bi 0.250 0.250 0.250  0.04
Bi 0.750 0.750 0.750  0.04

***

(15)
A plane-wave DFT calculation with PBE-GGA was carried out for crystalline TiBi3Br at its relaxed geometry.

- polymorph energy (0 for the lowest one) (meV/atom) = 1080
- E_form (uncorrected) (meV per atom) = 1079
- space-group type = Pm-3m, No. 221

a b c (Å): 5.579 5.579 5.579
angles (deg): 90.00 90.00 90.00
Fractional positions:
Bi 0.000 0.000 0.500
Ti 0.500 0.500 0.500
Br 0.000 0.000 0.000
Bi 0.000 0.500 0.000
Bi 0.500 0.000 0.000

***

(16)
A plane-wave DFT calculation with PBE-GGA was carried out for crystalline TiVBiBr2 at its relaxed geometry.

- E_form (uncorrected) (meV per atom) = 300
- space-group type = P4/mmm, No. 123

a b c (Å): 4.856 5.944 4.856
angles (deg): 90.00 90.00 90.00
Each line ends with the local moment (μB).
Fractional positions:
Bi 0.000 0.500 0.000  -0.33
Br 0.500 0.000 0.000  -0.04
Br 0.000 0.000 0.500  -0.03
Ti 0.500 0.500 0.500  1.72
V 0.000 0.000 0.000  2.14

***

(17)
A plane-wave DFT calculation with PBE-GGA was carried out for crystalline TiZnBi2Br at its relaxed geometry.

- E_form (uncorrected) (meV per atom) = 595
- space-group type = P4/mmm, No. 123

a b c (Å): 5.348 5.156 5.348
angles (deg): 90.00 90.00 90.00
Fractional positions:
Ti 0.000 0.500 0.000
Bi 0.500 0.000 0.000
Bi 0.000 0.000 0.500
Br 0.500 0.500 0.500
Zn 0.000 0.000 0.000

***

(18)
A plane-wave DFT calculation with PBE-GGA was carried out for crystalline TlBiBr6 at its relaxed geometry.

- E_form (uncorrected) (meV per atom) = -565
- space-group type = R-3m, No. 166

a b c (Å): 8.553 8.553 8.553
angles (deg): 112.35 112.35 112.35
Fractional positions:
Br 0.152 0.152 0.422
Br 0.848 0.848 0.578
Tl 0.000 0.000 0.000
Br 0.152 0.422 0.152
Br 0.578 0.848 0.848
Bi 0.500 0.500 0.500
Br 0.848 0.578 0.848
Br 0.422 0.152 0.152

***

(19)
A plane-wave DFT calculation with PBE-GGA was carried out for crystalline TlBiBr5 at its relaxed geometry.

- E_form (uncorrected) (meV per atom) = -591
- space-group type = C2/c, No. 15

a b c (Å): 8.220 8.220 11.065
angles (deg): 68.66 68.66 91.72
Fractional positions:
Tl 0.377 0.623 0.250
Br 0.809 0.284 0.518
Br 0.284 0.809 0.018
Br 0.191 0.716 0.482
Br 0.243 0.336 0.832
Br 0.924 0.076 0.250
Br 0.757 0.664 0.168
Br 0.716 0.191 0.982
Br 0.336 0.243 0.332
Br 0.664 0.757 0.668
Br 0.076 0.924 0.750
Bi 0.000 0.000 0.000
Bi 0.000 0.000 0.500
Tl 0.623 0.377 0.750

***

(20)
A plane-wave DFT calculation with PBE-GGA was carried out for crystalline Tl2BiBr5 at its relaxed geometry.

- polymorph energy (0 for the lowest one) (meV/atom) = 41
- E_form (uncorrected) (meV per atom) = -765
- space-group type = Cm, No. 8

a b c (Å): 8.216 8.225 8.045
angles (deg): 121.51 120.70 90.00
Fractional positions:
Tl 0.180 0.680 0.359
Tl 0.680 0.216 0.360
Br 0.775 0.266 0.037
Bi 0.008 0.003 0.015
Br 0.263 0.266 0.037
Br 0.299 0.810 0.105
Br 0.767 0.726 0.534
Br 0.806 0.810 0.105